The following is a GGA-PBE calculation of a geometry-optimized NaZrPd6 structure, from Alexandria.

Geometry as POSCAR:
```
NaZrPd6
1.0
4.073 0.000 0.000
0.000 4.073 0.000
0.000 0.000 7.933
Na Zr Pd
1 1 6
Cartesian
0.000 0.000 0.000
0.000 0.000 3.967
0.000 2.036 2.031
0.000 2.036 5.902
2.036 0.000 2.031
2.036 0.000 5.902
2.036 2.036 0.000
2.036 2.036 3.967
```

Values from the calculation:
**M_tot**: 0.0 μB per formula unit
**E**: -5.5678 eV per atom
**Calculated volume**: 16.4 Å³/atom
**Calculated formation energy**: -440 meV/atom